Record 1
First-principles (PBE-GGA) data for crystalline Nd6GeCl8 at its relaxed geometry, as listed in the Alexandria database.

As for the uncorrected formation energy: -1.726 eV/atom. The calculated volume comes out at 1338.00 Å³/cell.

The space group is R-3 (No. 148, hexagonal axes) and the conventional cell measures 7.1301, 7.1301 and 30.3904 Å, with angles of 90.00, 90.00 and 120.00 degrees. Symmetry generates all atoms from Nd at (0.0000, 0.3226, 0.4462), Ge at (0.0000, 0.0000, 0.5000), Cl at (0.0000, 0.0000, 0.1667) and Cl at (0.0000, 0.3314, 0.6086).

---

Record 2
First-principles (PBE-GGA) data for crystalline CsNbAu3 at its relaxed geometry, as listed in the Alexandria database.

As for the energy above the most stable polymorph in this dataset: 0 meV per atom. The energy relative to the elements is 0.329 eV per atom. The calculated volume comes out at 151.78 Å³/cell.

The space group is Pm-3m (No. 221) and the conventional cell measures 5.334, 5.334 and 5.334 Å, with angles of 90.00, 90.00 and 90.00 degrees. Symmetry generates all atoms from Cs at (0.000, 0.000, 0.000), Nb at (0.500, 0.500, 0.500) and Au at (0.000, 0.500, 0.500).

---

Record 3
First-principles (PBE-GGA) data for crystalline ZnCoAg2 at its relaxed geometry, as listed in the Alexandria database.

The energy relative to the elements is 0.264 eV per atom. The calculated volume comes out at 123.74 Å³/cell.

The space group is Immm (No. 71) and the conventional cell measures 2.863, 4.662 and 9.272 Å, with angles of 90.00, 90.00 and 90.00 degrees. Symmetry generates all atoms from Zn at (0.000, 0.000, 0.000), Co at (0.000, 0.000, 0.500) and Ag at (0.000, 0.500, 0.250).

---

Copy entry 2 word for word.
First-principles (PBE-GGA) data for crystalline CsNbAu3 at its relaxed geometry, as listed in the Alexandria database.

As for the energy above the most stable polymorph in this dataset: 0 meV per atom. The energy relative to the elements is 0.329 eV per atom. The calculated volume comes out at 151.78 Å³/cell.

The space group is Pm-3m (No. 221) and the conventional cell measures 5.334, 5.334 and 5.334 Å, with angles of 90.00, 90.00 and 90.00 degrees. Symmetry generates all atoms from Cs at (0.000, 0.000, 0.000), Nb at (0.500, 0.500, 0.500) and Au at (0.000, 0.500, 0.500).

---

- Among the records above, which one has the highest calculated volume?
  Nd6GeCl8

---

Repeat the first record exactly.
First-principles (PBE-GGA) data for crystalline Nd6GeCl8 at its relaxed geometry, as listed in the Alexandria database.

As for the uncorrected formation energy: -1.726 eV/atom. The calculated volume comes out at 1338.00 Å³/cell.

The space group is R-3 (No. 148, hexagonal axes) and the conventional cell measures 7.1301, 7.1301 and 30.3904 Å, with angles of 90.00, 90.00 and 120.00 degrees. Symmetry generates all atoms from Nd at (0.0000, 0.3226, 0.4462), Ge at (0.0000, 0.0000, 0.5000), Cl at (0.0000, 0.0000, 0.1667) and Cl at (0.0000, 0.3314, 0.6086).

---

- calculated volume of number 3 (ZnCoAg2)?
  123.74 Å³/cell